[1]
K2BeIn PBE-GGA relaxed; offset from the most stable computed form = 16.9 meV per atom
1.0
-3.7230 -0.5151 -2.4058
-0.0565 -2.8230 -3.4556
-3.9672 -8.0178 3.7711
Be K In
1 2 1
Direct
0.5416 0.5416 0.3749
0.9624 0.9624 0.1074
0.7877 0.7877 0.6425
0.2082 0.2082 0.3752

=====

[2]
KBeIn PBE-GGA relaxed; offset from the most stable computed form = 704.9 meV per atom
1.0
-2.5776 -4.4140 -0.4108
2.5177 -4.3572 -0.9860
0.4511 -3.5812 3.6426
Be K In
1 1 1
Direct
0.5000 0.5000 0.5000
0.0000 0.0000 0.0000
0.7500 0.7500 0.7500

=====

[3]
A plane-wave DFT calculation with PBE-GGA was carried out for an optimized crystal structure of KBeIn2.

POSCAR file:
```
KBeIn2
1.0
4.3032 -0.8867 0.3414
2.9082 3.2933 0.3414
1.8365 0.6129 7.1257
Be K In
1 1 2
Direct
0.2500 0.2500 0.2500
0.7500 0.7500 0.7500
0.9574 0.9574 0.1288
0.5426 0.5426 0.3712
```

=====

[4]
KBeIn PBE-GGA relaxed; offset from the most stable computed form = 301.5 meV per atom
1.0
-3.7738 -2.2043 5.1472
-0.2068 -5.6816 3.6429
3.1353 5.4004 -2.5690
K In Be
1 1 1
Direct
0.6687 0.6687 0.0000
0.3929 0.3929 0.0000
0.9384 0.9384 0.0000

=====

[5]
K2BeIn PBE-GGA relaxed; offset from the most stable computed form = 28.0 meV per atom
1.0
6.5020 -0.0184 -0.0082
1.8496 6.2334 0.0082
-3.4984 -4.0178 3.7276
K In Be
2 1 1
Direct
0.7237 0.2237 0.5000
0.0420 0.0420 0.0000
0.3512 0.8512 0.5000
0.3831 0.3831 0.0000

=====

[6]
A plane-wave DFT calculation with PBE-GGA was carried out for an optimized crystal structure of KBe4In.

POSCAR file:
```
KBe4In
1.0
-2.5299 -3.2447 2.9041
-1.2699 1.2884 4.7000
-4.8221 0.8835 1.1531
Be In K
4 1 1
Direct
0.3746 0.3746 0.3746
0.3746 0.8761 0.3746
0.8761 0.3746 0.3746
0.3746 0.3746 0.8761
0.7500 0.7500 0.7500
0.0000 0.0000 0.0000
```

=====

[7]
K2BeIn PBE-GGA relaxed; offset from the most stable computed form = 0.0 meV per atom
1.0
-1.1708 3.7865 2.4934
-5.9388 -1.1421 -1.0542
-3.1810 -3.5433 3.8873
K Be In
2 1 1
Direct
0.5000 0.2916 0.2916
0.0000 0.9584 0.9581
0.0000 0.6251 0.6249
0.5000 0.6249 0.6253

=====

[8]
K2BeIn PBE-GGA relaxed; offset from the most stable computed form = 373.3 meV per atom
1.0
3.6379 0.0019 0.0000
-0.0145 3.6379 0.0000
0.0000 0.0000 10.3668
K Be In
2 1 1
Direct
0.0000 0.0000 0.4750
0.0000 0.0000 0.0250
0.5000 0.5000 0.2500
0.5000 0.5000 0.7500

=====

[9]
KBeIn PBE-GGA relaxed; offset from the most stable computed form = 59.7 meV per atom
1.0
-0.4595 1.0790 4.0330
0.8726 -3.4116 2.9106
11.4381 1.5659 0.9513
K In Be
2 2 2
Direct
0.6262 0.2236 0.5487
0.2302 0.9619 0.1787
0.3299 0.7466 0.7598
0.8651 0.6605 0.9672
0.8538 0.2116 0.8502
0.3585 0.1995 0.8769

=====

[10]
K2BeIn PBE-GGA relaxed; offset from the most stable computed form = 416.9 meV per atom
1.0
2.5893 -4.1064 3.3057
-3.2204 -4.2531 2.4566
0.4272 -5.5165 -1.9698
In Be K
1 1 2
Direct
0.5000 0.5000 0.5000
0.0000 0.0000 0.0000
0.7500 0.7500 0.7500
0.2500 0.2500 0.2500

=====

[11]
KBe2In2 PBE-GGA relaxed; offset from the most stable computed form = 0.0 meV per atom
1.0
-0.8489 -4.3887 0.0307
4.2029 -0.8039 1.2927
0.1300 -2.2604 5.9002
Be K In
2 1 2
Direct
0.3951 0.3951 0.2098
0.6049 0.6049 0.7902
0.0000 0.0000 0.0000
0.2500 0.7500 0.5000
0.7500 0.2500 0.5000

=====

[12]
KBeIn PBE-GGA relaxed; offset from the most stable computed form = 257.4 meV per atom
1.0
4.3621 0.0000 0.0000
-2.1810 3.7777 0.0000
0.0000 0.0000 5.5221
K In Be
1 1 1
Direct
0.3333 0.6667 0.6656
0.6667 0.3333 0.1666
0.0000 0.0000 0.1678

=====

[13]
K2BeIn2 PBE-GGA relaxed; offset from the most stable computed form = 473.1 meV per atom
1.0
-2.9406 3.3525 -0.8317
-2.3909 -2.7638 -2.6876
-7.1954 -2.0747 4.7062
In K Be
2 2 1
Direct
0.5847 0.5847 0.8306
0.4153 0.4153 0.1694
0.7500 0.2500 0.5000
0.2500 0.7500 0.5000
0.0000 0.0000 0.0000

=====

[14]
A plane-wave DFT calculation with PBE-GGA was carried out for an optimized crystal structure of KBeIn4.

POSCAR file:
```
KBeIn4
1.0
-5.9949 1.7120 0.5136
-2.1610 4.8528 -3.3036
-3.9467 -0.9638 -4.7569
Be K In
1 1 4
Direct
0.0000 0.0000 0.0000
0.7500 0.7500 0.7500
0.3747 0.3747 0.8760
0.8760 0.3747 0.3747
0.3747 0.3747 0.3747
0.3747 0.8760 0.3747
```

=====

[15]
K2BeIn PBE-GGA relaxed; offset from the most stable computed form = 371.3 meV per atom
1.0
-2.1337 4.2655 -1.6524
-2.4505 0.0845 3.3824
2.1310 3.5401 6.3870
K In Be
2 1 1
Direct
0.0000 0.0083 0.0079
0.0000 0.4917 0.4921
0.5000 0.7500 0.7500
0.5000 0.2500 0.2500

=====

Number 1: E_form 273 meV per atom. Number 2: E_form 852 meV per atom. Number 3: E_form 172 meV per atom. Number 4: E_form 449 meV per atom. Number 5: E_form 284 meV per atom. Number 6: E_form 735 meV per atom. Number 7: E_form 256 meV per atom. Number 8: E_form 629 meV per atom. Number 9: E_form 207 meV per atom. Number 10: E_form 673 meV per atom. Number 11: E_form 376 meV per atom. Number 12: E_form 404 meV per atom. Number 13: E_form 736 meV per atom. Number 14: E_form 421 meV per atom. Number 15: E_form 627 meV per atom.